(1)
# Tb5Dy8Sc, optimized geometry, DFT PBE-GGA
# E = -0.3373 Ry/atom
# N(E_F) = 1.213 states/eV/atom
# Space group = P1, No. 1
data_Tb5Dy8Sc
_chemical_formula_sum 'Tb5 Dy8 Sc1'
_space_group_name_H-M_alt 'P 1'
_space_group_IT_number 1
_cell_length_a 8.668
_cell_length_b 8.403
_cell_length_c 8.400
_cell_angle_alpha 85.04
_cell_angle_beta 119.81
_cell_angle_gamma 119.82
loop_
_space_group_symop_operation_xyz
'x,y,z'
loop_
_atom_site_label
_atom_site_type_symbol
_atom_site_fract_x
_atom_site_fract_y
_atom_site_fract_z
Tb1 Tb 0.910 0.253 0.854
Tb2 Tb 0.954 0.926 0.194
Tb3 Tb 0.686 0.739 0.727
Tb4 Tb 0.377 0.865 0.450
Tb5 Tb 0.380 0.183 0.135
Dy1 Dy 0.096 0.718 0.985
Dy2 Dy 0.030 0.042 0.631
Dy3 Dy 0.027 0.361 0.309
Dy4 Dy 0.686 0.460 0.008
Dy5 Dy 0.485 0.627 0.225
Dy6 Dy 0.485 0.958 0.894
Dy7 Dy 0.431 0.282 0.551
Dy8 Dy 0.910 0.587 0.519
Sc1 Sc 0.293 0.500 0.767

(2)
# Tb2Dy4Sc3, optimized geometry, DFT PBE-GGA
# E = -0.3793 Ry/atom
# Relative energy among the computed polymorphs = 0.0 kJ/mol of atoms
# N(E_F) = 1.450 states/eV/atom
# Space group = C2/m, No. 12
data_Tb2Dy4Sc3
_chemical_formula_sum 'Tb2 Dy4 Sc3'
_space_group_name_H-M_alt 'P 1'
_space_group_IT_number 1
_cell_length_a 3.489
_cell_length_b 9.249
_cell_length_c 9.200
_cell_angle_alpha 115.33
_cell_angle_beta 100.93
_cell_angle_gamma 90.00
loop_
_space_group_symop_operation_xyz
'x,y,z'
loop_
_atom_site_label
_atom_site_type_symbol
_atom_site_fract_x
_atom_site_fract_y
_atom_site_fract_z
Tb1 Tb 0.665 0.992 0.329
Tb2 Tb 0.335 0.008 0.671
Dy1 Dy 0.481 0.663 0.961
Dy2 Dy 0.186 0.332 0.372
Dy3 Dy 0.519 0.337 0.039
Dy4 Dy 0.814 0.668 0.628
Sc1 Sc 0.148 0.664 0.296
Sc2 Sc 0.852 0.336 0.704
Sc3 Sc 0.000 0.000 0.000

(3)
# Tb7Dy12Sc, optimized geometry, DFT PBE-GGA
# E = -0.3250 Ry/atom
# Relative energy among the computed polymorphs = 0.0 kJ/mol of atoms
# N(E_F) = 0.983 states/eV/atom
# Space group = R-3, No. 148
data_Tb7Dy12Sc
_chemical_formula_sum 'Tb7 Dy12 Sc1'
_space_group_name_H-M_alt 'P 1'
_space_group_IT_number 1
_cell_length_a 8.638
_cell_length_b 8.638
_cell_length_c 8.638
_cell_angle_alpha 94.76
_cell_angle_beta 94.76
_cell_angle_gamma 94.76
loop_
_space_group_symop_operation_xyz
'x,y,z'
loop_
_atom_site_label
_atom_site_type_symbol
_atom_site_fract_x
_atom_site_fract_y
_atom_site_fract_z
Tb1 Tb 0.923 0.656 0.989
Tb2 Tb 0.344 0.011 0.077
Tb3 Tb 0.011 0.077 0.344
Tb4 Tb 0.500 0.500 0.500
Tb5 Tb 0.989 0.923 0.656
Tb6 Tb 0.656 0.989 0.923
Tb7 Tb 0.077 0.344 0.011
Dy1 Dy 0.810 0.249 0.678
Dy2 Dy 0.751 0.322 0.190
Dy3 Dy 0.475 0.144 0.409
Dy4 Dy 0.856 0.591 0.525
Dy5 Dy 0.322 0.190 0.751
Dy6 Dy 0.591 0.525 0.856
Dy7 Dy 0.409 0.475 0.144
Dy8 Dy 0.678 0.810 0.249
Dy9 Dy 0.144 0.409 0.475
Dy10 Dy 0.525 0.856 0.591
Dy11 Dy 0.249 0.678 0.810
Dy12 Dy 0.190 0.751 0.322
Sc1 Sc 0.000 0.000 0.000

(4)
# Tb5DySc2, optimized geometry, DFT PBE-GGA
# E = -0.3629 Ry/atom
# Relative energy among the computed polymorphs = 7.9 kJ/mol of atoms
# N(E_F) = 1.230 states/eV/atom
# Space group = I4/mcm, No. 140
data_Tb5DySc2
_chemical_formula_sum 'Tb10 Dy2 Sc4'
_space_group_name_H-M_alt 'P 1'
_space_group_IT_number 1
_cell_length_a 8.843
_cell_length_b 8.843
_cell_length_c 8.800
_cell_angle_alpha 120.16
_cell_angle_beta 120.16
_cell_angle_gamma 90.00
loop_
_space_group_symop_operation_xyz
'x,y,z'
loop_
_atom_site_label
_atom_site_type_symbol
_atom_site_fract_x
_atom_site_fract_y
_atom_site_fract_z
Tb1 Tb 0.492 0.691 0.683
Tb2 Tb 0.809 0.008 0.317
Tb3 Tb 0.000 0.000 0.000
Tb4 Tb 0.500 0.500 0.000
Tb5 Tb 0.191 0.992 0.683
Tb6 Tb 0.691 0.191 0.683
Tb7 Tb 0.992 0.492 0.683
Tb8 Tb 0.309 0.809 0.317
Tb9 Tb 0.008 0.508 0.317
Tb10 Tb 0.508 0.309 0.317
Dy1 Dy 0.750 0.750 0.500
Dy2 Dy 0.250 0.250 0.500
Sc1 Sc 0.144 0.356 0.000
Sc2 Sc 0.644 0.144 0.000
Sc3 Sc 0.356 0.856 0.000
Sc4 Sc 0.856 0.644 0.000

(5)
# Tb12DySc6, optimized geometry, DFT PBE-GGA
# E = -0.3477 Ry/atom
# Relative energy among the computed polymorphs = 19.0 kJ/mol of atoms
# N(E_F) = 1.465 states/eV/atom
# Space group = R-3m, No. 166
data_Tb12DySc6
_chemical_formula_sum 'Tb12 Dy1 Sc6'
_space_group_name_H-M_alt 'P 1'
_space_group_IT_number 1
_cell_length_a 9.067
_cell_length_b 9.067
_cell_length_c 9.067
_cell_angle_alpha 107.67
_cell_angle_beta 107.67
_cell_angle_gamma 107.67
loop_
_space_group_symop_operation_xyz
'x,y,z'
loop_
_atom_site_label
_atom_site_type_symbol
_atom_site_fract_x
_atom_site_fract_y
_atom_site_fract_z
Tb1 Tb 0.888 0.112 0.500
Tb2 Tb 0.373 0.150 0.373
Tb3 Tb 0.373 0.373 0.150
Tb4 Tb 0.850 0.627 0.627
Tb5 Tb 0.627 0.627 0.850
Tb6 Tb 0.627 0.850 0.627
Tb7 Tb 0.500 0.888 0.112
Tb8 Tb 0.112 0.500 0.888
Tb9 Tb 0.112 0.888 0.500
Tb10 Tb 0.500 0.112 0.888
Tb11 Tb 0.888 0.500 0.112
Tb12 Tb 0.150 0.373 0.373
Dy1 Dy 0.000 0.000 0.000
Sc1 Sc 0.688 0.273 0.688
Sc2 Sc 0.688 0.688 0.273
Sc3 Sc 0.273 0.688 0.688
Sc4 Sc 0.312 0.312 0.727
Sc5 Sc 0.312 0.727 0.312
Sc6 Sc 0.727 0.312 0.312

(6)
# TbDy3Sc5, optimized geometry, DFT PBE-GGA
# E = -0.3881 Ry/atom
# N(E_F) = 1.093 states/eV/atom
# Space group = I4/mcm, No. 140
data_TbDy3Sc5
_chemical_formula_sum 'Tb2 Dy6 Sc10'
_space_group_name_H-M_alt 'P 1'
_space_group_IT_number 1
_cell_length_a 8.326
_cell_length_b 8.326
_cell_length_c 9.249
_cell_angle_alpha 116.75
_cell_angle_beta 116.75
_cell_angle_gamma 90.00
loop_
_space_group_symop_operation_xyz
'x,y,z'
loop_
_atom_site_label
_atom_site_type_symbol
_atom_site_fract_x
_atom_site_fract_y
_atom_site_fract_z
Tb1 Tb 0.750 0.250 0.500
Tb2 Tb 0.250 0.750 0.500
Dy1 Dy 0.619 0.119 0.000
Dy2 Dy 0.381 0.881 0.000
Dy3 Dy 0.881 0.619 0.000
Dy4 Dy 0.119 0.381 0.000
Dy5 Dy 0.250 0.250 0.500
Dy6 Dy 0.750 0.750 0.500
Sc1 Sc 0.071 0.571 0.730
Sc2 Sc 0.659 0.159 0.730
Sc3 Sc 0.159 0.071 0.730
Sc4 Sc 0.571 0.659 0.730
Sc5 Sc 0.929 0.429 0.270
Sc6 Sc 0.341 0.841 0.270
Sc7 Sc 0.841 0.929 0.270
Sc8 Sc 0.429 0.341 0.270
Sc9 Sc 0.500 0.500 0.000
Sc10 Sc 0.000 0.000 0.000

Look up the E of the fourth one.
-0.3629 Ry/atom